(1)
Computed, not measured: Ba4PSe after structural relaxation at the PBE level of DFT.

a = 6.8608 Å, b = 6.8608 Å, c = 6.8608 Å
α = 60.00°, β = 60.00°, γ = 60.00°
With the nearest neighbours (Å) after each atom.
Element x y z (fractional)
Ba (0.8742, 0.3753, 0.3753)  6 Ba 3.42-3.44
Ba (0.3753, 0.3753, 0.3753)  6 Ba 3.42-3.44
Ba (0.3753, 0.3753, 0.8742)  6 Ba 3.42-3.44
Ba (0.3753, 0.8742, 0.3753)  6 Ba 3.42-3.44
P (0.7500, 0.7500, 0.7500)  12 Ba 4.02, 4 Se 4.20
Se (0.0000, 0.0000, 0.0000)  12 Ba 4.02, 4 P 4.20

Properties
**Formation energy without anion corrections**: 0.541 eV per formula unit
**Space-group type**: F-43m (216)


(2)
Computed, not measured: BaP2Se after structural relaxation at the PBE level of DFT.

a = 5.8604 Å, b = 5.8604 Å, c = 5.8604 Å
α = 135.75°, β = 135.75°, γ = 64.36°
With the nearest neighbours (Å) after each atom.
Element x y z (fractional)
Se (0.5000, 0.5000, 0.0000)  8 P 3.12-3.32, 4 Ba 3.32
Ba (0.7500, 0.2500, 0.5000)  8 P 3.12-3.32, 4 Se 3.32
P (0.2500, 0.7500, 0.5000)  4 Ba 3.12, 4 P 3.32, 4 Se 3.32
P (0.0000, 0.0000, 0.0000)  4 Se 3.12, 4 Ba 3.32, 4 P 3.32

Properties
**Formation energy without anion corrections**: 0.191 eV per formula unit
**Space-group type**: I-4m2 (119)


(3)
Computed, not measured: BaP2Se after structural relaxation at the PBE level of DFT.

a = 7.4432 Å, b = 7.4432 Å, c = 7.4432 Å
α = 32.10°, β = 32.10°, γ = 32.10°
With the nearest neighbours (Å) after each atom.
Element x y z (fractional)
Ba (0.7500, 0.7500, 0.7500)  6 P 3.23
P (0.5204, 0.5204, 0.5204)  3 Se 2.72
P (0.9796, 0.9796, 0.9796)  3 Se 2.72
Se (0.2500, 0.2500, 0.2500)  6 P 2.72

Properties
**Formation energy without anion corrections**: -0.073 eV per formula unit
**Space-group type**: R-3m (166)


(4)
Computed, not measured: BaP2Se after structural relaxation at the PBE level of DFT.

a = 4.0003 Å, b = 4.0003 Å, c = 6.1738 Å
α = 90.00°, β = 90.00°, γ = 90.00°
With the nearest neighbours (Å) after each atom.
Element x y z (fractional)
P (0.0000, 0.0000, 0.4233)  1 P 2.14
P (0.0000, 0.0000, 0.0767)  1 P 2.14
Se (0.5000, 0.5000, 0.2500)  8 P 3.02, 2 Ba 3.09
Ba (0.5000, 0.5000, 0.7500)  2 Se 3.09

Properties
**Formation energy without anion corrections**: -0.582 eV per formula unit
**Space-group type**: P4/mmm (123)


Q: The highest formation energy without anion corrections belongs to which entry?
A: Ba4PSe


What did the fourth record say?
Computed, not measured: BaP2Se after structural relaxation at the PBE level of DFT.

a = 4.0003 Å, b = 4.0003 Å, c = 6.1738 Å
α = 90.00°, β = 90.00°, γ = 90.00°
With the nearest neighbours (Å) after each atom.
Element x y z (fractional)
P (0.0000, 0.0000, 0.4233)  1 P 2.14
P (0.0000, 0.0000, 0.0767)  1 P 2.14
Se (0.5000, 0.5000, 0.2500)  8 P 3.02, 2 Ba 3.09
Ba (0.5000, 0.5000, 0.7500)  2 Se 3.09

Properties
**Formation energy without anion corrections**: -0.582 eV per formula unit
**Space-group type**: P4/mmm (123)


Q: Look up the formation energy without anion corrections of the second one.
A: 0.191 eV per formula unit